[1]
Pr3Dy4Tm5 (GGA-PBE, relaxed); calculated volume = 31.898 Å³/atom; mass density = 8.32 Mg/m³; total magnetic moment = 0.000 Bohr magnetons per cell; DFT formation energy = 0.023 eV per atom
1.0
-6.884 -1.482 -1.095
14.039 -6.434 1.378
-15.271 7.918 4.464
Pr Dy Tm
3 4 5
Direct
0.581 0.166 0.333 Pr
0.000 0.000 0.500 Pr
0.419 0.834 0.667 Pr
0.921 0.837 0.667 Dy
0.834 0.666 0.834 Dy
0.166 0.334 0.166 Dy
0.079 0.163 0.333 Dy
0.331 0.668 0.833 Tm
0.500 0.000 0.500 Tm
0.747 0.500 0.999 Tm
0.253 0.500 0.001 Tm
0.669 0.332 0.167 Tm

***

[2]
Pr2Dy9Tm (GGA-PBE, relaxed); calculated volume = 32.059 Å³/atom; mass density = 8.26 Mg/m³; total magnetic moment = 0.001 Bohr magnetons per cell; DFT formation energy = 0.075 eV per atom
1.0
3.490 0.000 0.000
0.000 11.283 0.000
0.000 -5.641 9.771
Pr Dy Tm
2 9 1
Direct
0.000 0.333 0.667 Pr
0.000 0.667 0.333 Pr
0.000 0.000 0.500 Dy
0.000 0.500 0.500 Dy
0.000 0.500 0.000 Dy
0.500 0.344 0.172 Dy
0.500 0.172 0.828 Dy
0.500 0.172 0.344 Dy
0.500 0.828 0.656 Dy
0.500 0.828 0.172 Dy
0.500 0.656 0.828 Dy
0.000 0.000 0.000 Tm

***

[3]
Pr2Dy7Tm2 (GGA-PBE, relaxed); calculated volume = 32.638 Å³/atom; mass density = 8.13 Mg/m³; total magnetic moment = 0.000 Bohr magnetons per cell; DFT formation energy = 0.132 eV per atom
1.0
3.475 -0.349 -0.850
-0.463 10.426 1.523
0.876 2.803 10.130
Pr Dy Tm
2 7 2
Direct
0.500 0.730 0.270 Pr
0.500 0.270 0.730 Pr
0.168 0.919 0.418 Dy
0.832 0.582 0.081 Dy
0.832 0.081 0.582 Dy
0.168 0.418 0.919 Dy
0.000 0.000 0.000 Dy
0.621 0.624 0.624 Dy
0.379 0.376 0.376 Dy
0.299 0.800 0.800 Tm
0.701 0.200 0.200 Tm

***

[4]
Pr6DyY2Tm3 (GGA-PBE, relaxed); calculated volume = 33.331 Å³/atom; mass density = 7.03 Mg/m³; total magnetic moment = 0.000 Bohr magnetons per cell; DFT formation energy = 0.013 eV per atom
1.0
6.294 0.000 0.008
-3.146 5.452 0.008
-1.063 -1.841 11.651
Pr Dy Y Tm
6 1 2 3
Direct
0.916 0.583 0.748 Pr
0.752 0.752 0.252 Pr
0.084 0.417 0.252 Pr
0.583 0.916 0.748 Pr
0.248 0.248 0.748 Pr
0.417 0.084 0.252 Pr
0.000 0.000 0.000 Dy
0.333 0.667 0.000 Y
0.667 0.333 0.000 Y
0.167 0.833 0.500 Tm
0.833 0.167 0.500 Tm
0.500 0.500 0.500 Tm

***

[5]
PrDy2Y2Tm (GGA-PBE, relaxed); calculated volume = 33.188 Å³/atom; mass density = 6.78 Mg/m³; total magnetic moment = 0.000 Bohr magnetons per cell; DFT formation energy = 0.267 eV per atom
1.0
-3.060 -1.535 0.107
2.882 -5.791 -0.648
1.295 -1.346 17.786
Pr Dy Y Tm
2 4 4 2
Direct
0.000 0.000 0.000 Pr
0.500 0.500 0.500 Pr
0.500 0.214 0.354 Dy
0.000 0.714 0.146 Dy
0.500 0.786 0.646 Dy
0.000 0.286 0.854 Dy
0.500 0.717 0.312 Y
0.500 0.283 0.688 Y
0.000 0.783 0.812 Y
0.000 0.217 0.188 Y
0.500 0.500 0.000 Tm
0.000 0.000 0.500 Tm

***

[6]
PrDyY5Tm2 (GGA-PBE, relaxed); calculated volume = 33.096 Å³/atom; mass density = 6.05 Mg/m³; total magnetic moment = 0.001 Bohr magnetons per cell; DFT formation energy = 0.159 eV per atom
1.0
5.626 0.000 0.000
-2.813 10.063 0.000
0.000 0.000 10.524
Pr Dy Y Tm
2 2 10 4
Direct
0.803 0.606 0.515 Pr
0.197 0.394 0.015 Pr
0.587 0.173 0.949 Dy
0.413 0.827 0.449 Dy
0.391 0.781 0.025 Y
0.721 0.443 0.814 Y
0.478 0.956 0.737 Y
0.301 0.602 0.705 Y
0.984 0.968 0.523 Y
0.609 0.219 0.525 Y
0.279 0.557 0.314 Y
0.522 0.044 0.237 Y
0.699 0.398 0.205 Y
0.016 0.032 0.023 Y
0.888 0.775 0.819 Tm
0.110 0.220 0.736 Tm
0.112 0.225 0.319 Tm
0.890 0.780 0.236 Tm

***

[7]
PrDyYTm (GGA-PBE, relaxed); calculated volume = 32.750 Å³/atom; mass density = 7.11 Mg/m³; total magnetic moment = 0.000 Bohr magnetons per cell; DFT formation energy = 0.121 eV per atom
1.0
3.720 0.000 0.584
0.000 5.868 0.000
0.940 -2.934 6.149
Pr Dy Y Tm
1 1 1 1
Direct
0.662 0.398 0.796 Pr
0.177 0.886 0.771 Dy
0.431 0.133 0.266 Y
0.916 0.648 0.296 Tm

***

[8]
Pr2DyY6Tm (GGA-PBE, relaxed); calculated volume = 33.050 Å³/atom; mass density = 5.76 Mg/m³; total magnetic moment = 0.000 Bohr magnetons per cell; DFT formation energy = 0.112 eV per atom
1.0
1.318 9.544 1.844
-8.769 0.485 -0.394
3.612 -2.755 7.527
Pr Dy Y Tm
4 2 12 2
Direct
0.456 0.806 0.706 Pr
0.044 0.294 0.194 Pr
0.544 0.194 0.294 Pr
0.956 0.706 0.806 Pr
0.250 0.983 0.017 Dy
0.750 0.017 0.983 Dy
0.057 0.123 0.744 Y
0.443 0.256 0.877 Y
0.943 0.877 0.256 Y
0.557 0.744 0.123 Y
0.313 0.981 0.424 Y
0.187 0.576 0.019 Y
0.687 0.019 0.576 Y
0.813 0.424 0.981 Y
0.117 0.705 0.496 Y
0.383 0.504 0.295 Y
0.883 0.295 0.504 Y
0.617 0.496 0.705 Y
0.250 0.406 0.594 Tm
0.750 0.594 0.406 Tm

***

Which of these has the highest calculated volume? Pr6DyY2Tm3

***

Among the records above, which one has the highest calculated volume? Pr6DyY2Tm3

***

Please write out number 4 again, unchanged.
Pr6DyY2Tm3 (GGA-PBE, relaxed); calculated volume = 33.331 Å³/atom; mass density = 7.03 Mg/m³; total magnetic moment = 0.000 Bohr magnetons per cell; DFT formation energy = 0.013 eV per atom
1.0
6.294 0.000 0.008
-3.146 5.452 0.008
-1.063 -1.841 11.651
Pr Dy Y Tm
6 1 2 3
Direct
0.916 0.583 0.748 Pr
0.752 0.752 0.252 Pr
0.084 0.417 0.252 Pr
0.583 0.916 0.748 Pr
0.248 0.248 0.748 Pr
0.417 0.084 0.252 Pr
0.000 0.000 0.000 Dy
0.333 0.667 0.000 Y
0.667 0.333 0.000 Y
0.167 0.833 0.500 Tm
0.833 0.167 0.500 Tm
0.500 0.500 0.500 Tm